# Cs2KU2Se5 (GGA-PBE, relaxed)
# density = 5.85 g/cm3
# electronic total energy = -5.428 eV per atom
# uncorrected formation energy = -1.1480 eV/atom
data_Cs2KU2Se5
_chemical_formula_sum 'Cs4 K2 U4 Se10'
_space_group_name_H-M_alt 'P 4/m b m'
_space_group_IT_number 127
_space_group_name_Hall '-P 4 2ab'
_cell_length_a 13.237
_cell_length_b 13.237
_cell_length_c 3.811
_cell_angle_alpha 90.00
_cell_angle_beta 90.00
_cell_angle_gamma 90.00
loop_
_atom_site_label
_atom_site_type_symbol
_atom_site_fract_x
_atom_site_fract_y
_atom_site_fract_z
Cs1 Cs 0.182 0.318 0.000
K1 K 0.000 0.000 0.000
U1 U 0.118 0.618 0.000
Se1 Se 0.000 0.500 0.500
Se2 Se 0.071 0.773 0.500

# K2InTe4Pb (GGA-PBE, relaxed)
# density = 5.21 g/cm3
# electronic total energy = -3.267 eV per atom
# uncorrected formation energy = -0.6156 eV/atom
data_K2InTe4Pb
_chemical_formula_sum 'K4 In2 Te8 Pb2'
_space_group_name_H-M_alt 'I -4 2 m'
_space_group_IT_number 121
_space_group_name_Hall 'I -4 2'
_cell_length_a 8.762
_cell_length_b 8.762
_cell_length_c 7.554
_cell_angle_alpha 90.00
_cell_angle_beta 90.00
_cell_angle_gamma 90.00
loop_
_atom_site_label
_atom_site_type_symbol
_atom_site_fract_x
_atom_site_fract_y
_atom_site_fract_z
K1 K 0.000 0.500 0.000
In1 In 0.000 0.000 0.000
Te1 Te 0.184 0.184 0.770
Pb1 Pb 0.000 0.000 0.500

# U2CoOs (GGA-PBE, relaxed)
# density = 16.10 g/cm3
# electronic total energy = -10.058 eV per atom
# formation enthalpy at 0 K = 0.17 eV/atom
data_U2CoOs
_chemical_formula_sum 'U4 Co2 Os2'
_space_group_name_H-M_alt 'C 1 2/m 1'
_space_group_IT_number 12
_cell_length_a 7.324
_cell_length_b 2.975
_cell_length_c 6.867
_cell_angle_alpha 90.00
_cell_angle_beta 90.63
_cell_angle_gamma 90.00
loop_
_space_group_symop_operation_xyz
'x,y,z'
'-x,-y,-z'
'-x,y,-z'
'x,-y,z'
'x+1/2,y+1/2,z'
'-x+1/2,-y+1/2,-z'
'-x+1/2,y+1/2,-z'
'x+1/2,-y+1/2,z'
loop_
_atom_site_label
_atom_site_type_symbol
_atom_site_fract_x
_atom_site_fract_y
_atom_site_fract_z
U1 U 0.228 0.000 0.260
Co1 Co 0.000 0.500 0.500
Os1 Os 0.000 0.500 0.000

# NdSm4In5 (GGA-PBE, relaxed)
# density = 7.74 g/cm3
# electronic total energy = -4.226 eV per atom
# formation enthalpy at 0 K = -0.49 eV/atom
data_NdSm4In5
_chemical_formula_sum 'Nd1 Sm4 In5'
_space_group_name_H-M_alt 'P 4/m m m'
_space_group_IT_number 123
_space_group_name_Hall '-P 4 2'
_cell_length_a 3.844
_cell_length_b 3.844
_cell_length_c 19.155
_cell_angle_alpha 90.00
_cell_angle_beta 90.00
_cell_angle_gamma 90.00
loop_
_atom_site_label
_atom_site_type_symbol
_atom_site_fract_x
_atom_site_fract_y
_atom_site_fract_z
Nd1 Nd 0.000 0.000 0.000
Sm1 Sm 0.000 0.000 0.202
Sm2 Sm 0.000 0.000 0.401
In1 In 0.500 0.500 0.103
In2 In 0.500 0.500 0.301
In3 In 0.500 0.500 0.500

# Mg2InRuAu (GGA-PBE, relaxed)
# density = 6.17 g/cm3
# electronic total energy = -3.043 eV per atom
# formation enthalpy at 0 K = 0.65 eV/atom
data_Mg2InRuAu
_chemical_formula_sum 'Mg2 In1 Ru1 Au1'
_space_group_name_H-M_alt 'P 4/m m m'
_space_group_IT_number 123
_space_group_name_Hall '-P 4 2'
_cell_length_a 4.931
_cell_length_b 4.931
_cell_length_c 5.104
_cell_angle_alpha 90.00
_cell_angle_beta 90.00
_cell_angle_gamma 90.00
loop_
_atom_site_label
_atom_site_type_symbol
_atom_site_fract_x
_atom_site_fract_y
_atom_site_fract_z
Mg1 Mg 0.000 0.500 0.000
In1 In 0.000 0.000 0.500
Ru1 Ru 0.500 0.500 0.500
Au1 Au 0.000 0.000 0.000

# Y2PCl (GGA-PBE, relaxed)
# density = 4.28 g/cm3
# electronic total energy = -6.217 eV per atom
# uncorrected formation energy = -1.1706 eV/atom
data_Y2PCl
_chemical_formula_sum 'Y4 P2 Cl2'
_space_group_name_H-M_alt 'I m m m'
_space_group_IT_number 71
_space_group_name_Hall '-I 2 2'
_cell_length_a 3.976
_cell_length_b 6.109
_cell_length_c 7.811
_cell_angle_alpha 90.00
_cell_angle_beta 90.00
_cell_angle_gamma 90.00
loop_
_atom_site_label
_atom_site_type_symbol
_atom_site_fract_x
_atom_site_fract_y
_atom_site_fract_z
Y1 Y 0.000 0.000 0.241
P1 P 0.000 0.500 0.500
Cl1 Cl 0.000 0.500 0.000

# Er6Sc5 (GGA-PBE, relaxed)
# density = 6.60 g/cm3
# electronic total energy = -5.231 eV per atom
# formation enthalpy at 0 K = 0.14 eV/atom
# ΔE to the lowest computed polymorph = 0.000 eV per atom
data_Er6Sc5
_chemical_formula_sum 'Er12 Sc10'
_space_group_name_H-M_alt 'I m m m'
_space_group_IT_number 71
_space_group_name_Hall '-I 2 2'
_cell_length_a 5.244
_cell_length_b 7.899
_cell_length_c 14.930
_cell_angle_alpha 90.00
_cell_angle_beta 90.00
_cell_angle_gamma 90.00
loop_
_atom_site_label
_atom_site_type_symbol
_atom_site_fract_x
_atom_site_fract_y
_atom_site_fract_z
Er1 Er 0.000 0.210 0.143
Er2 Er 0.000 0.289 0.500
Sc1 Sc 0.000 0.000 0.339
Sc2 Sc 0.000 0.500 0.000
Sc3 Sc 0.000 0.500 0.297

# Y2Ge3Pt5 (GGA-PBE, relaxed)
# density = 12.23 g/cm3
# electronic total energy = -6.584 eV per atom
# formation enthalpy at 0 K = -0.89 eV/atom
# ΔE to the lowest computed polymorph = 0.000 eV per atom
data_Y2Ge3Pt5
_chemical_formula_sum 'Y8 Ge12 Pt20'
_space_group_name_H-M_alt 'I b a m'
_space_group_IT_number 72
_space_group_name_Hall '-I 2 2c'
_cell_length_a 11.340
_cell_length_b 11.471
_cell_length_c 5.723
_cell_angle_alpha 90.00
_cell_angle_beta 90.00
_cell_angle_gamma 90.00
loop_
_atom_site_label
_atom_site_type_symbol
_atom_site_fract_x
_atom_site_fract_y
_atom_site_fract_z
Y1 Y 0.229 0.135 0.000
Ge1 Ge 0.000 0.500 0.250
Ge2 Ge 0.124 0.135 0.500
Pt1 Pt 0.000 0.000 0.250
Pt2 Pt 0.000 0.265 0.250
Pt3 Pt 0.167 0.400 0.000

# TcAsRhSe2 (GGA-PBE, relaxed)
# density = 6.55 g/cm3
# electronic total energy = -5.046 eV per atom
# ΔE to the lowest computed polymorph = 0.000 eV per atom
# uncorrected formation energy = 0.8214 eV/atom
data_TcAsRhSe2
_chemical_formula_sum 'Tc1 As1 Rh1 Se2'
_space_group_name_H-M_alt 'P 4/m m m'
_space_group_IT_number 123
_space_group_name_Hall '-P 4 2'
_cell_length_a 4.817
_cell_length_b 4.817
_cell_length_c 4.741
_cell_angle_alpha 90.00
_cell_angle_beta 90.00
_cell_angle_gamma 90.00
loop_
_atom_site_label
_atom_site_type_symbol
_atom_site_fract_x
_atom_site_fract_y
_atom_site_fract_z
Tc1 Tc 0.000 0.000 0.000
As1 As 0.000 0.000 0.500
Rh1 Rh 0.500 0.500 0.500
Se1 Se 0.000 0.500 0.000

# PmPrC (GGA-PBE, relaxed)
# density = 6.63 g/cm3
# electronic total energy = -6.245 eV per atom
# formation enthalpy at 0 K = 0.01 eV/atom
# ΔE to the lowest computed polymorph = 0.113 eV per atom
data_PmPrC
_chemical_formula_sum 'Pm2 Pr2 C2'
_space_group_name_H-M_alt 'P m n 21'
_space_group_IT_number 31
_cell_length_a 3.712
_cell_length_b 6.322
_cell_length_c 6.362
_cell_angle_alpha 90.00
_cell_angle_beta 90.00
_cell_angle_gamma 90.00
loop_
_space_group_symop_operation_xyz
'x,y,z'
'-x+1/2,-y,z+1/2'
'-x,y,z'
'x+1/2,-y,z+1/2'
loop_
_atom_site_label
_atom_site_type_symbol
_atom_site_fract_x
_atom_site_fract_y
_atom_site_fract_z
Pm1 Pm 0.000 0.039 0.000
Pr1 Pr 0.000 0.458 0.380
C1 C 0.000 0.761 0.684

# U2CoPt9 (GGA-PBE, relaxed)
# density = 18.76 g/cm3
# electronic total energy = -7.506 eV per atom
# formation enthalpy at 0 K = -0.50 eV/atom
data_U2CoPt9
_chemical_formula_sum 'U2 Co1 Pt9'
_space_group_name_H-M_alt 'P 4/m m m'
_space_group_IT_number 123
_space_group_name_Hall '-P 4 2'
_cell_length_a 4.115
_cell_length_b 4.115
_cell_length_c 11.970
_cell_angle_alpha 90.00
_cell_angle_beta 90.00
_cell_angle_gamma 90.00
loop_
_atom_site_label
_atom_site_type_symbol
_atom_site_fract_x
_atom_site_fract_y
_atom_site_fract_z
U1 U 0.000 0.000 0.179
Co1 Co 0.000 0.000 0.500
Pt1 Pt 0.000 0.500 0.000
Pt2 Pt 0.000 0.500 0.345
Pt3 Pt 0.500 0.500 0.172
Pt4 Pt 0.500 0.500 0.500

# Cd8Ag6Au (GGA-PBE, relaxed)
# density = 8.81 g/cm3
# electronic total energy = -1.852 eV per atom
# formation enthalpy at 0 K = 0.00 eV/atom
# ΔE to the lowest computed polymorph = 0.000 eV per atom
data_Cd8Ag6Au
_chemical_formula_sum 'Cd24 Ag18 Au3'
_space_group_name_H-M_alt 'R -3'
_space_group_IT_number 148
_space_group_name_Hall '-R 3'
_cell_length_a 8.1517
_cell_length_b 8.1517
_cell_length_c 17.1279
_cell_angle_alpha 90.00
_cell_angle_beta 90.00
_cell_angle_gamma 120.00
loop_
_atom_site_label
_atom_site_type_symbol
_atom_site_fract_x
_atom_site_fract_y
_atom_site_fract_z
Cd1 Cd 0.0000 0.0000 0.1601
Cd2 Cd 0.0035 0.6774 0.6201
Ag1 Ag 0.0018 0.3307 0.2150
Au1 Au 0.0000 0.0000 0.5000

Number 3 is which compound?
U2CoOs

Which of these has the lowest electronic total energy?
U2CoOs